No. 1
VASP calculation (GGA-PBE) on a relaxed Pm8Pr4Y crystal.

Cell and atoms, written as CIF:
```
data_Pm8Pr4Y
_chemical_formula_sum 'Pm8 Pr4 Y1'
_cell_length_a 7.9503
_cell_length_b 7.9503
_cell_length_c 7.9503
_cell_angle_alpha 90.90
_cell_angle_beta 90.90
_cell_angle_gamma 90.90
_space_group_name_H-M_alt 'P 1'
_space_group_IT_number 1
_space_group_name_Hall 'P 1'
loop_
_atom_site_label
_atom_site_fract_x
_atom_site_fract_y
_atom_site_fract_z
Pm1 0.2355 0.2355 0.7533
Pm2 0.2355 0.7533 0.2355
Pm3 0.2371 0.2371 0.2371
Pm4 0.2467 0.7645 0.7645
Pm5 0.7533 0.2355 0.2355
Pm6 0.7629 0.7629 0.7629
Pm7 0.7645 0.2467 0.7645
Pm8 0.7645 0.7645 0.2467
Pr1 0.0000 0.0000 0.0000
Pr2 0.0000 0.5000 0.5000
Pr3 0.5000 0.0000 0.5000
Pr4 0.5000 0.5000 0.0000
Y1 0.5000 0.5000 0.5000
```

Properties
Space group = R-3m, No. 166
Formation energy from the elements = 480 meV/atom
D(E_F) = 21.519 states/eV per cell
Volume = 38.6 Å³/atom
Size of the total moment = 1.67 μB/cell
Density = 5.99 Mg/m³

---

No. 2
VASP calculation (GGA-PBE) on a relaxed Pm3Pr2Y7 crystal.

Cell and atoms, written as CIF:
```
data_Pm3Pr2Y7
_chemical_formula_sum 'Pm3 Pr2 Y7'
_cell_length_a 19.2393
_cell_length_b 19.2393
_cell_length_c 3.6421
_cell_angle_alpha 90.00
_cell_angle_beta 90.00
_cell_angle_gamma 162.27
_space_group_name_H-M_alt 'P 1'
_space_group_IT_number 1
_space_group_name_Hall 'P 1'
loop_
_atom_site_label
_atom_site_fract_x
_atom_site_fract_y
_atom_site_fract_z
Pm1 0.0000 0.0000 0.0000
Pm2 0.1489 0.8511 0.0000
Pm3 0.8511 0.1489 0.0000
Pr1 0.3251 0.6749 0.5000
Pr2 0.6749 0.3251 0.5000
Y1 0.0725 0.9275 0.5000
Y2 0.2285 0.7715 0.5000
Y3 0.4127 0.5873 0.0000
Y4 0.5000 0.5000 0.5000
Y5 0.5873 0.4127 0.0000
Y6 0.7715 0.2285 0.5000
Y7 0.9275 0.0725 0.5000
```

Properties
Space group = Cmmm, No. 65
Formation energy from the elements = 162 meV/atom
Energy relative to the lowest polymorph listed for this composition = 0.0778 eV/atom
D(E_F) = 20.593 states/eV per cell
Volume = 34.2 Å³/atom
Size of the total moment = 0.00 μB/cell
Density = 5.42 Mg/m³

---

No. 3
VASP calculation (GGA-PBE) on a relaxed Pm8Pr5Y crystal.

Cell and atoms, written as CIF:
```
data_Pm8Pr5Y
_chemical_formula_sum 'Pm8 Pr5 Y1'
_cell_length_a 8.6602
_cell_length_b 8.6602
_cell_length_c 8.6602
_cell_angle_alpha 110.78
_cell_angle_beta 110.78
_cell_angle_gamma 106.88
_space_group_name_H-M_alt 'P 1'
_space_group_IT_number 1
_space_group_name_Hall 'P 1'
loop_
_atom_site_label
_atom_site_fract_x
_atom_site_fract_y
_atom_site_fract_z
Pm1 0.1767 0.4118 0.5977
Pm2 0.3273 0.2243 0.2437
Pm3 0.4210 0.8233 0.2351
Pm4 0.5882 0.1859 0.7649
Pm5 0.7757 0.0194 0.1030
Pm6 0.8141 0.5790 0.4023
Pm7 0.9164 0.6727 0.8970
Pm8 0.9806 0.0836 0.7563
Pr1 0.0661 0.4625 0.1819
Pr2 0.1158 0.9339 0.3965
Pr3 0.2807 0.8842 0.8182
Pr4 0.5375 0.7193 0.6035
Pr5 0.7500 0.2500 0.5000
Y1 0.5000 0.5000 0.0000
```

Properties
Space group = I-4, No. 82
Formation energy from the elements = 232 meV/atom
D(E_F) = 20.547 states/eV per cell
Volume = 35.7 Å³/atom
Size of the total moment = 0.00 μB/cell
Density = 6.50 Mg/m³